[1]
Mg2Mn | PBE-GGA | optimized geometry

```
12
Lattice="-4.2094 -4.8702 1.2924 4.8537 -3.4669 2.7440 -1.3530 2.7147 5.8230" Properties=species:S:1:pos:R:3 pbc="T T T"
Mg 1.5729 -1.7817 6.7486
Mg -0.8537 -0.0479 5.3765
Mg 2.2497 -3.1392 3.8372
Mg -0.1769 -1.4055 2.4651
Mg -2.2815 -3.8407 3.1110
Mg -0.5317 -4.2169 7.3944
Mg 0.1451 -5.5745 4.4831
Mg -2.9583 -2.4832 6.0223
Mn 0.3222 -4.1686 2.0182
Mn 0.0000 0.0000 0.0000
Mn 1.7504 -0.3761 4.2835
Mn -2.7812 -1.0777 3.5577
```



[2]
MgMn2 | PBE-GGA | optimized geometry

```
3
Lattice="4.5961 0.0000 0.0000 0.0000 4.5961 0.0000 0.0000 0.0000 2.9472" Properties=species:S:1:pos:R:3 pbc="T T T"
Mn 0.0000 2.2980 1.4736
Mn 2.2980 0.0000 1.4736
Mg 0.0000 0.0000 0.0000
```



[3]
MgMn | PBE-GGA | optimized geometry

```
4
Lattice="-0.0848 -0.6848 2.8550 -1.9593 -1.1694 -1.8496 5.7835 -7.2223 -1.5606" Properties=species:S:1:pos:R:3 pbc="T T T"
Mn 0.1114 -2.8134 -0.6715
Mn 3.6280 -6.2630 0.1164
Mg 2.8918 -3.6111 -0.7803
Mg 0.0000 0.0000 0.0000
```



[4]
MgMn3 | PBE-GGA | optimized geometry

```
4
Lattice="-2.8643 3.7779 -2.0368 -3.9129 -1.2923 3.1056 1.7637 3.2685 3.5822" Properties=species:S:1:pos:R:3 pbc="T T T"
Mn 0.8818 1.6342 1.7911
Mn -1.9565 -0.6462 1.5528
Mn -1.4322 1.8890 -1.0184
Mg 0.0000 0.0000 0.0000
```



[5]
16
Lattice="-4.3189 -6.0051 -1.9919 7.3397 3.2430 -1.0637 -0.1040 -1.8037 7.2097" Properties=species:S:1:pos:R:3 comment="Mg3Mn5 (PBE-GGA, optimized geometry)" polymorph_energy_mev_per_atom=0.0 pbc="T T T"
Mn 5.7262 1.1518 -1.3631
Mn 0.6385 -2.3698 0.6100
Mn 0.9543 -4.4929 2.4615
Mn 1.9662 -0.0678 1.6939
Mn -1.4474 -4.0976 1.2471
Mn -2.8060 -5.7128 5.5190
Mn 4.3675 -0.4634 2.9083
Mn 3.5062 -0.4428 -0.7726
Mn -0.5857 -4.1179 4.9287
Mn 2.2814 -2.1909 3.5458
Mg 0.7169 -1.9399 6.0376
Mg 2.2038 -2.6207 -1.8815
Mg -0.5074 -2.1956 3.1153
Mg 4.2341 1.4260 0.9885
Mg -1.3135 -5.9866 3.1673
Mg 3.4271 -2.3660 1.0403



[6]
Mg2Mn | PBE-GGA | optimized geometry

```
6
Lattice="2.9020 -0.6957 4.7362 3.0574 4.2155 2.0542 -1.6168 2.6081 4.6820" Properties=species:S:1:pos:R:3 pbc="T T T"
Mg 2.0715 2.8737 2.4611
Mg 0.5428 0.7660 1.4341
Mg 1.9938 0.4181 3.8022
Mg -0.2656 2.0700 3.7751
Mn 2.1713 3.0639 5.7362
Mn 3.2569 4.5959 8.6043
```



[7]
MgMn3 | PBE-GGA | optimized geometry

```
16
Lattice="-3.1854 3.9960 -1.0952 -3.2898 -3.0720 -1.6405 -3.3808 -0.5529 7.8152" Properties=species:S:1:pos:R:3 pbc="T T T"
Mg -2.0916 1.3067 1.5169
Mg -7.7644 -0.9356 3.5627
Mg -2.9449 -1.2224 0.9688
Mg -6.9111 1.5935 4.1107
Mn -6.1293 -2.8247 4.1363
Mn -4.6192 1.3775 2.5552
Mn -5.2127 -0.3751 4.7062
Mn -4.6433 0.7462 0.3734
Mn -2.8768 -0.3675 3.5904
Mn -6.7802 -1.2589 6.0923
Mn -3.7266 3.1958 0.9432
Mn -4.4202 -0.6199 7.1584
Mn -3.0758 1.6299 -1.0128
Mn -6.9792 0.7385 1.4891
Mn -5.4357 0.9910 -2.0789
Mn -5.2367 -1.0064 2.5243
```



[8]
Mg2Mn | PBE-GGA | optimized geometry

```
12
Lattice="-2.4259 2.2920 -2.7189 3.5765 -1.5296 -4.4804 -5.0207 -7.1662 -1.5612" Properties=species:S:1:pos:R:3 pbc="T T T"
Mg 1.2882 -0.9948 -3.6918
Mg -5.1583 -5.4091 -5.0688
Mg -2.1741 -5.6746 -4.5475
Mg -4.0347 -5.0130 -2.3298
Mg -1.6960 -0.7292 -4.2131
Mg 0.1645 -1.3909 -6.4308
Mg -2.1938 -2.6475 -1.9782
Mg -1.6764 -3.7564 -6.7824
Mn -0.4937 -3.4191 -4.1455
Mn -3.3764 -2.9848 -4.6151
Mn -0.5402 -0.1682 -1.3637
Mn -3.3299 -6.2356 -7.3969
```



[9]
5
Lattice="0.6070 4.4508 -0.9305 -1.3027 -1.3085 4.1994 5.4317 -0.4156 1.5555" Properties=species:S:1:pos:R:3 comment="Mg3Mn2 (PBE-GGA, optimized geometry)" polymorph_energy_mev_per_atom=75.8 pbc="T T T"
Mn 0.6542 2.4788 0.9753
Mn 4.0818 0.2481 3.8491
Mg 1.2524 0.4645 3.0389
Mg 3.4836 2.2623 1.7855
Mg 0.0000 0.0000 0.0000



[10]
MgMn2 | PBE-GGA | optimized geometry

```
12
Lattice="6.1786 0.0000 0.0000 0.0000 6.1786 0.0000 0.0000 0.0000 6.1786" Properties=species:S:1:pos:R:3 pbc="T T T"
Mn 2.2925 2.2925 3.8861
Mn 5.3818 2.2925 5.3818
Mn 5.3818 0.7968 2.2925
Mn 3.8861 5.3818 5.3818
Mn 0.7968 3.8861 0.7968
Mn 3.8861 3.8861 2.2925
Mn 2.2925 0.7968 0.7968
Mn 0.7968 5.3818 3.8861
Mg 0.0000 0.0000 0.0000
Mg 3.0893 0.0000 3.0893
Mg 3.0893 3.0893 0.0000
Mg 0.0000 3.0893 3.0893
```



[11]
MgMn | PBE-GGA | optimized geometry

```
4
Lattice="4.4021 0.0000 0.0000 -2.2011 3.8123 0.0000 0.0000 0.0000 5.0790" Properties=species:S:1:pos:R:3 pbc="T T T"
Mn 0.0000 0.0000 0.0000
Mn 0.0000 0.0000 2.5395
Mg 2.2011 1.2708 3.8093
Mg 0.0000 2.5416 1.2698
```



[12]
MgMn | PBE-GGA | optimized geometry

```
12
Lattice="-2.1165 6.9353 1.4980 -4.2665 -5.6959 2.0436 1.9982 -0.1818 3.6650" Properties=species:S:1:pos:R:3 pbc="T T T"
Mg -1.0180 1.4141 1.8161
Mg -2.3839 -3.5769 4.6949
Mg -3.9820 1.9897 3.4607
Mg -2.0008 4.6345 2.5117
Mg -3.3667 -0.3565 5.3906
Mg -0.4028 -0.9321 3.7460
Mn -4.1263 -1.9813 3.3423
Mn -0.2585 3.0389 3.8643
Mn -2.8331 -0.2547 2.7229
Mn -2.1933 3.4145 4.9379
Mn -1.5517 1.3123 4.4837
Mn -2.1914 -2.3569 2.2688
```



[13]
MgMn6 | PBE-GGA | optimized geometry

```
7
Lattice="-3.7256 -3.4589 1.2835 4.7176 -2.0698 0.9760 -0.6148 4.3650 2.8390" Properties=species:S:1:pos:R:3 pbc="T T T"
Mn -1.9222 -0.9291 2.6262
Mn 1.5217 -2.1905 2.0835
Mn -0.5891 -2.5378 2.1604
Mn 0.9663 1.3742 2.9382
Mn -1.1445 1.0269 3.0151
Mn 2.2994 -0.2345 2.4724
Mg 0.0000 0.0000 0.0000
```



[14]
MgMn | PBE-GGA | optimized geometry

```
4
Lattice="-2.7834 -3.1993 -3.5161 2.3526 -4.6663 -1.7427 -1.8393 2.9433 4.2779" Properties=species:S:1:pos:R:3 pbc="T T T"
Mg -2.4151 -2.0210 -0.8848
Mg -0.0040 -0.0734 -0.0491
Mn 0.1437 -2.9222 -0.1101
Mn -0.2103 -3.8386 -2.5664
```



[15]
MgMn3 | PBE-GGA | optimized geometry

```
8
Lattice="2.8321 -4.7861 0.0000 2.8321 4.7861 0.0000 0.0000 0.0000 4.4977" Properties=species:S:1:pos:R:3 pbc="T T T"
Mn 4.1798 1.5648 3.3733
Mn 1.4844 -1.5648 1.1244
Mn 1.4844 1.5648 3.3733
Mn 4.1798 -1.5648 1.1244
Mn 2.8321 0.8124 1.1244
Mn 2.8321 -0.8124 3.3733
Mg 2.8321 3.9048 3.3733
Mg 2.8321 -3.9048 1.1244
```



[16]
MgMn | PBE-GGA | optimized geometry

```
4
Lattice="-2.0873 3.5551 -2.4465 -2.6686 -3.5287 1.8459 -0.5664 2.8394 4.6092" Properties=species:S:1:pos:R:3 pbc="T T T"
Mg -2.7059 3.3233 2.4412
Mg -2.6165 -0.4576 1.5674
Mn -2.8996 0.9621 3.8720
Mn -2.4227 1.9036 0.1366
```



[17]
MgMn3 | PBE-GGA | optimized geometry

```
4
Lattice="-1.4491 -3.5110 -3.5895 3.6914 -1.4592 3.3994 -3.6804 3.2740 1.7458" Properties=species:S:1:pos:R:3 pbc="T T T"
Mn -2.5647 -0.1185 -0.9219
Mn 1.1211 -2.4851 -0.0950
Mn 0.0055 0.9074 2.5726
Mg 0.0000 0.0000 0.0000
```



[18]
8
Lattice="3.1326 -5.4258 0.0000 3.1326 5.4258 0.0000 0.0000 0.0000 5.0250" Properties=species:S:1:pos:R:3 comment="Mg7Mn (PBE-GGA, optimized geometry)" polymorph_energy_mev_per_atom=0.0 pbc="T T T"
Mn 0.0000 0.0000 2.5125
Mg 4.7496 0.8750 0.0000
Mg 1.5156 0.8750 0.0000
Mg 1.5712 2.7101 2.5125
Mg 3.1326 -1.8086 0.0000
Mg 3.1326 3.6757 0.0000
Mg 4.6940 2.7101 2.5125
Mg 3.1326 0.0057 2.5125



[19]
MgMn2 | PBE-GGA | optimized geometry

```
6
Lattice="1.6980 -6.1794 0.0000 1.6980 6.1794 0.0000 0.0000 0.0000 4.2287" Properties=species:S:1:pos:R:3 pbc="T T T"
Mg 1.6980 -5.1815 3.1715
Mg 1.6980 5.1815 1.0572
Mn 1.6980 3.1706 3.1715
Mn 1.6980 -3.1706 1.0572
Mn 1.6980 1.4066 1.0572
Mn 1.6980 -1.4066 3.1715
```



[20]
Mg2Mn | PBE-GGA | optimized geometry

```
3
Lattice="3.0255 0.0000 0.0000 -1.5128 2.6202 0.0000 0.0000 0.0000 7.2888" Properties=species:S:1:pos:R:3 pbc="T T T"
Mg 0.0000 1.7468 2.3049
Mg 1.5128 0.8734 4.9839
Mn 0.0000 0.0000 0.0000
```



[21]
5
Lattice="-1.9354 1.9354 4.5386 1.9354 -1.9354 4.5386 1.9354 1.9354 -4.5386" Properties=species:S:1:pos:R:3 comment="MgMn4 (PBE-GGA, optimized geometry)" polymorph_energy_mev_per_atom=0.0 pbc="T T T"
Mn 0.0000 0.0000 5.6222
Mn 1.9354 0.0000 2.2693
Mn 0.0000 0.0000 3.4550
Mn 0.0000 1.9354 2.2693
Mg 0.0000 0.0000 0.0000



[22]
Mg2Mn | PBE-GGA | optimized geometry

```
12
Lattice="-8.0835 3.2062 9.7262 -3.0074 1.8688 12.5573 6.4148 0.3069 -11.3568" Properties=species:S:1:pos:R:3 pbc="T T T"
Mg -2.6530 2.5887 2.8386
Mg -2.7646 1.2650 5.5545
Mg -6.4995 2.9740 13.0586
Mg 1.6956 1.0916 0.6165
Mg -3.8336 3.6216 11.7256
Mg -4.5612 3.4618 6.6725
Mg -8.3263 3.8099 16.7289
Mg -4.5914 2.1009 9.2248
Mn -0.1068 1.9163 4.2378
Mn -2.0313 2.7969 8.1043
Mn -0.9622 0.4403 1.9333
Mn -10.1287 4.6347 20.3502
```



[23]
MgMn2 | PBE-GGA | optimized geometry

```
6
Lattice="-3.0916 3.0916 2.7163 3.0916 -3.0916 2.7163 3.0916 3.0916 -2.7163" Properties=species:S:1:pos:R:3 pbc="T T T"
Mn 2.1784 0.9132 0.0000
Mn 0.9132 4.0048 0.0000
Mn 0.9132 2.1784 2.7163
Mn 2.1784 -0.9132 2.7163
Mg 0.0000 0.0000 4.0744
Mg 0.0000 0.0000 1.3581
```



[24]
MgMn2 | PBE-GGA | optimized geometry

```
6
Lattice="1.9794 -4.9294 -1.0068 2.1494 -3.5432 -3.4722 6.5758 0.6985 0.8463" Properties=species:S:1:pos:R:3 pbc="T T T"
Mg 6.5399 0.6507 0.8169
Mg 3.6276 -2.5367 -1.1761
Mn 4.4038 -4.9874 -2.5004
Mn 7.1362 -5.1664 -2.4126
Mn 7.9419 -7.6148 -3.7336
Mn 7.2561 -1.6735 -0.4404
```



[25]
MgMn | PBE-GGA | optimized geometry

```
2
Lattice="-1.8142 -0.2000 -4.1078 -0.3319 -3.9495 -2.1205 -4.0293 -1.9041 -0.5872" Properties=species:S:1:pos:R:3 pbc="T T T"
Mg 0.0000 0.0000 0.0000
Mn -4.6315 -4.5402 -5.1116
```



no.,total magnetic moment (μB/atom),VASP energy (eV per atom)
1,1.24,-3.555
2,2.60,-5.657
3,1.79,-5.030
4,3.34,-5.350
5,1.22,-5.995
6,1.35,-3.641
7,0.24,-6.913
8,1.16,-3.893
9,1.44,-4.251
10,2.50,-5.438
11,1.80,-4.691
12,0.25,-4.985
13,0.00,-7.091
14,1.70,-5.068
15,2.49,-6.846
16,2.01,-4.193
17,2.58,-6.774
18,0.45,-2.447
19,0.21,-6.368
20,1.20,-3.858
21,0.24,-7.404
22,1.13,-3.895
23,2.46,-5.899
24,2.23,-6.223
25,2.14,-3.894